{"formula": "MnNiP", "functional": "PBE", "state": "optimized geometry", "lattice": [[3.7940, 0.0000, 0.0000], [1.8970, 3.2857, 0.0000], [1.8970, 1.0952, 3.0978]], "species": ["P", "Ni", "Mn"], "frac_coords": [[0.5000, 0.5000, 0.5000], [0.0000, 0.0000, 0.0000], [0.7500, 0.7500, 0.7500]], "dos_at_fermi_per_ev_atom": 0.8255, "e_form_ev_per_atom": -0.117, "sg": "F-43m (216)", "energy_ev_per_atom": -6.90}